(1)
Entry from the Alexandria database: an optimized crystal structure of Cs2CrSbRu (PBEsol).

```
Cs2CrSbRu
1.0
7.284 0.000 0.000
0.000 7.284 0.000
0.000 0.000 5.010
Cs Cr Sb Ru
2 1 1 1
Cartesian
0.000 3.642 0.000 Cs
3.642 0.000 0.000 Cs
0.000 0.000 2.505 Cr
0.000 0.000 0.000 Sb
3.642 3.642 2.505 Ru
```

Calculated values
* energy relative to the elements, uncorrected: 1.51 eV per atom
* symmetry: P4/mmm, No. 123

***

(2)
Entry from the Alexandria database: an optimized crystal structure of KMgFe2 (PBEsol).

```
KMgFe2
1.0
3.072 0.000 0.000
0.000 3.072 0.000
0.000 0.000 8.583
K Mg Fe
1 1 2
Cartesian
0.000 0.000 0.000 K
1.536 1.536 3.275 Mg
0.000 0.000 5.082 Fe
1.536 1.536 5.959 Fe
```

Calculated values
* offset from the most stable computed form: 0.000 eV/atom
* calculated formation energy: 548 meV per atom
* symmetry: P4mm, No. 99

***

(3)
Entry from the Alexandria database: an optimized crystal structure of YBe3 (PBEsol).

```
YBe3
1.0
3.916 0.000 0.000
0.000 3.916 0.000
0.000 0.000 3.916
Y Be
1 3
Cartesian
0.000 0.000 0.000 Y
0.000 1.958 1.958 Be
1.958 0.000 1.958 Be
1.958 1.958 0.000 Be
```

Calculated values
* offset from the most stable computed form: 0.555 eV/atom
* calculated formation energy: 495 meV per atom
* symmetry: Pm-3m, No. 221

***

(4)
Entry from the Alexandria database: an optimized crystal structure of RbGeBr3 (PBEsol).

```
RbGeBr3
1.0
7.834 0.000 0.000
0.000 7.542 0.000
0.000 0.000 10.970
Rb Ge Br
4 4 12
Cartesian
0.467 0.146 0.000 Rb
3.450 3.917 5.485 Rb
4.384 3.625 0.000 Rb
7.367 7.397 5.485 Rb
0.139 3.831 2.615 Ge
3.778 0.059 8.101 Ge
4.056 7.483 2.615 Ge
7.695 3.712 8.101 Ge
0.010 4.196 0.049 Br
1.571 5.965 3.043 Br
1.673 6.049 7.908 Br
2.244 2.278 2.423 Br
2.346 2.194 8.528 Br
3.907 0.425 5.534 Br
3.927 7.117 0.049 Br
5.488 5.348 3.043 Br
5.590 5.265 7.908 Br
6.161 1.494 2.423 Br
6.264 1.577 8.528 Br
7.824 3.346 5.534 Br
```

Calculated values
* energy relative to the elements, uncorrected: -1.06 eV per atom
* symmetry: Pna2_1, No. 33

***

(5)
Entry from the Alexandria database: an optimized crystal structure of CoAgTe (PBEsol).

```
CoAgTe
1.0
0.000 3.085 3.085
3.085 0.000 3.085
3.085 3.085 0.000
Co Ag Te
1 1 1
Cartesian
0.000 0.000 0.000 Co
3.085 3.085 3.085 Ag
1.542 1.542 1.542 Te
```

Calculated values
* offset from the most stable computed form: 0.126 eV/atom
* energy relative to the elements, uncorrected: 0.44 eV per atom
* symmetry: F-43m, No. 216

***

(6)
Entry from the Alexandria database: an optimized crystal structure of KZr2Sb (PBEsol).

```
KZr2Sb
1.0
4.940 -1.582 0.000
4.940 1.582 0.000
-0.674 0.000 7.497
K Zr Sb
1 2 1
Cartesian
0.000 0.000 0.000 K
4.695 0.000 3.793 Zr
7.426 0.000 2.647 Zr
2.008 0.000 5.155 Sb
```

Calculated values
* energy relative to the elements, uncorrected: 0.16 eV per atom
* symmetry: Cm, No. 8

***

(7)
Entry from the Alexandria database: an optimized crystal structure of AlTlBiAu2 (PBEsol).

```
AlTlBiAu2
1.0
5.190 0.000 0.000
0.000 5.190 0.000
0.000 0.000 5.025
Al Tl Bi Au
1 1 1 2
Cartesian
0.000 0.000 0.000 Al
0.000 0.000 2.512 Tl
2.595 2.595 0.000 Bi
0.000 2.595 2.512 Au
2.595 0.000 2.512 Au
```

Calculated values
* calculated formation energy: 778 meV per atom
* symmetry: P4/mmm, No. 123

***

(8)
Entry from the Alexandria database: an optimized crystal structure of BaCuBr2 (PBEsol).

```
BaCuBr2
1.0
2.137 1.234 8.837
-2.137 1.234 8.837
0.000 -2.467 8.837
Ba Cu Br
1 1 2
Cartesian
0.000 0.000 0.000 Ba
0.000 0.000 13.256 Cu
0.000 0.000 10.990 Br
0.000 0.000 15.522 Br
```

Calculated values
* offset from the most stable computed form: 0.115 eV/atom
* energy relative to the elements, uncorrected: -0.79 eV per atom
* symmetry: R-3m, No. 166

***

Question: Which formula does entry 3 have?
Answer: YBe3